Density functional theory data (GGA-PBE) for a geometry-optimized HfZr2Cd structure.

## Properties
Calculated formation energy   -5 meV per atom
Raw total energy   -7.00 eV/atom
Crystal system   trigonal
Symmetry   R3m (160)

Geometry as POSCAR:
```
HfZr2Cd
1.0
1.598 0.922 10.330
-1.598 0.922 10.330
0.000 -1.845 10.330
Hf Zr Cd
1 2 1
Direct
0.000 0.000 0.000
0.415 0.415 0.415
0.585 0.585 0.585
0.167 0.167 0.167
```



Density functional theory data (GGA-PBE) for a geometry-optimized La4NdPb structure.

## Properties
Calculated formation energy   -207 meV per atom
Raw total energy   -4.90 eV/atom
Crystal system   orthorhombic
Symmetry   Cmmm (65)

Geometry as POSCAR:
```
La4NdPb
1.0
2.509 -8.111 0.000
2.509 8.111 0.000
0.000 0.000 5.020
La Nd Pb
4 1 1
Direct
0.157 0.843 0.000
0.338 0.662 0.500
0.662 0.338 0.500
0.843 0.157 0.000
0.500 0.500 0.000
0.000 0.000 0.500
```



Density functional theory data (GGA-PBE) for a geometry-optimized PmZnGa2Pd5 structure.

## Properties
Calculated formation energy   -443 meV per atom
Raw total energy   -4.67 eV/atom
Crystal system   tetragonal
Symmetry   P4/mmm (123)

Geometry as POSCAR:
```
PmZnGa2Pd5
1.0
4.719 0.000 0.000
0.000 4.719 0.000
0.000 0.000 7.344
Pm Zn Ga Pd
1 1 2 5
Direct
0.000 0.000 0.000
0.000 0.000 0.500
0.500 0.500 0.338
0.500 0.500 0.662
0.000 0.500 0.271
0.000 0.500 0.729
0.500 0.000 0.271
0.500 0.000 0.729
0.500 0.500 0.000
```